Record 1
A plane-wave DFT calculation with PBE-GGA was carried out for a geometry-optimized Ta2N3 structure.

a b c (Å): 9.778 9.778 9.778
angles (deg): 90.00 90.00 90.00
Space group Ia-3 (No. 206)
Unique sites:
Ta1 0.000 0.250 0.460 [24 per cell]
Ta2 0.250 0.250 0.250 [8 per cell]
N1 0.103 0.155 0.620 [48 per cell]

=====

Record 2
A plane-wave DFT calculation with PBE-GGA was carried out for a geometry-optimized Ta2N structure.

a b c (Å): 3.0939 3.0939 4.8858
angles (deg): 90.00 90.00 120.00
Space group P-3m1 (No. 164)
Unique sites:
Ta1 0.3333 0.6667 0.2559 [2 per cell]
N1 0.0000 0.0000 0.0000 [1 per cell]

=====

Record 3
A plane-wave DFT calculation with PBE-GGA was carried out for a geometry-optimized Ta3N4 structure.

a b c (Å): 6.517 6.517 6.517
angles (deg): 90.00 90.00 90.00
Space group I-43d (No. 220)
Unique sites:
Ta1 0.000 0.250 0.375 [12 per cell]
N1 0.074 0.074 0.074 [16 per cell]

=====

Record 4
A plane-wave DFT calculation with PBE-GGA was carried out for a geometry-optimized Ta4N5 structure.

a b c (Å): 4.769 4.688 10.551
angles (deg): 90.00 111.99 90.00
Space group P2_1/c (No. 14)
Unique sites:
Ta1 0.086 0.053 0.358 [4 per cell]
Ta2 0.368 0.117 0.113 [4 per cell]
N1 0.075 0.730 0.524 [4 per cell]
N2 0.305 0.174 0.765 [4 per cell]
N3 0.500 0.000 0.500 [2 per cell]

=====

Record 5
A plane-wave DFT calculation with PBE-GGA was carried out for a geometry-optimized Ta5N6 structure.

a b c (Å): 5.1995 5.1995 10.4044
angles (deg): 90.00 90.00 120.00
Space group P6_3/mcm (No. 193)
Unique sites:
Ta1 0.0000 0.3244 0.2500 [6 per cell]
Ta2 0.3333 0.6667 0.0000 [4 per cell]
N1 0.0000 0.3387 0.6217 [12 per cell]

=====

Record 6
A plane-wave DFT calculation with PBE-GGA was carried out for a geometry-optimized Ta3N4 structure.

a b c (Å): 8.5554 8.5554 3.4150
angles (deg): 90.00 90.00 120.00
Space group P6_3/m (No. 176)
Unique sites:
Ta1 0.1630 0.7581 0.2500 [6 per cell]
N1 0.0176 0.6869 0.7500 [6 per cell]
N2 0.3333 0.6667 0.2500 [2 per cell]

=====

Record 7
A plane-wave DFT calculation with PBE-GGA was carried out for a geometry-optimized Tb3Ta3W2N12 structure.

a b c (Å): 12.819 12.819 12.819
angles (deg): 90.00 90.00 90.00
Space group Ia-3d (No. 230)
Unique sites:
Tb1 0.000 0.250 0.125 [24 per cell]
Ta1 0.000 0.250 0.375 [24 per cell]
W1 0.000 0.000 0.000 [16 per cell]
N1 0.029 0.053 0.646 [96 per cell]

=====

Record 8
A plane-wave DFT calculation with PBE-GGA was carried out for a geometry-optimized Y2TaTcN6 structure.

a b c (Å): 5.6008 5.6008 13.6698
angles (deg): 90.00 90.00 120.00
Space group R3 (No. 146, hexagonal axes)
Unique sites:
Y1 0.0000 0.0000 0.0000 [3 per cell]
Y2 0.0000 0.0000 0.4907 [3 per cell]
Ta1 0.0000 0.0000 0.7341 [3 per cell]
Tc1 0.0000 0.0000 0.2373 [3 per cell]
N1 0.0051 0.4213 0.9631 [9 per cell]
N2 0.0806 0.7342 0.7963 [9 per cell]

=====

Record 9
A plane-wave DFT calculation with PBE-GGA was carried out for a geometry-optimized Ta4TlN3 structure.

a b c (Å): 3.1007 3.1007 25.2900
angles (deg): 90.00 90.00 120.00
Space group P6_3/mmc (No. 194)
Unique sites:
Ta1 0.0000 0.0000 0.1521 [4 per cell]
Ta2 0.3333 0.6667 0.0490 [4 per cell]
Tl1 0.3333 0.6667 0.2500 [2 per cell]
N1 0.0000 0.0000 0.0000 [2 per cell]
N2 0.3333 0.6667 0.6009 [4 per cell]

=====

Record 10
A plane-wave DFT calculation with PBE-GGA was carried out for a geometry-optimized Ta2Tl3N6 structure.

a b c (Å): 3.883 3.883 21.499
angles (deg): 90.00 90.00 90.00
Space group I4/mmm (No. 139)
Unique sites:
Ta1 0.000 0.000 0.104 [4 per cell]
Tl1 0.000 0.000 0.306 [4 per cell]
Tl2 0.000 0.000 0.500 [2 per cell]
N1 0.000 0.000 0.195 [4 per cell]
N2 0.000 0.500 0.073 [8 per cell]

=====

Record 11
A plane-wave DFT calculation with PBE-GGA was carried out for a geometry-optimized Ta3TlN2 structure.

a b c (Å): 3.1409 3.1409 19.6925
angles (deg): 90.00 90.00 120.00
Space group P6_3/mmc (No. 194)
Unique sites:
Ta1 0.0000 0.0000 0.0000 [2 per cell]
Ta2 0.3333 0.6667 0.1255 [4 per cell]
Tl1 0.0000 0.0000 0.2500 [2 per cell]
N1 0.3333 0.6667 0.5625 [4 per cell]

=====

Record 12
A plane-wave DFT calculation with PBE-GGA was carried out for a geometry-optimized Ta2Tl3W4N3 structure.

a b c (Å): 10.264 5.421 14.040
angles (deg): 90.00 100.20 90.00
Space group C2/c (No. 15)
Unique sites:
Ta1 0.074 0.099 0.429 [8 per cell]
Tl1 0.000 0.405 0.250 [4 per cell]
Tl2 0.166 0.096 0.741 [8 per cell]
W1 0.115 0.451 0.578 [8 per cell]
W2 0.199 0.391 0.920 [8 per cell]
N1 0.107 0.199 0.027 [8 per cell]
N2 0.250 0.250 0.500 [4 per cell]

=====

Let's list size of the total moment in order: 2.47, 0.00, 0.05, 0.03, 0.01, 0.01, 0.00, 0.00, 0.00, 0.07, 0.01, 0.00 Bohr magnetons per cell.
Let's list E_tot in order: -10.702, -11.487, -10.518, -10.483, -11.063, -10.532, -9.762, -9.335, -9.889, -7.097, -9.544, -8.747 eV/atom.